(1)
# CaZn11Pd

An optimized crystal structure of CaZn11Pd (GGA-PBE, Alexandria via LeMat-Bulk).

Structure (CIF):
```
data_CaZn11Pd
_cell_length_a 5.2735
_cell_length_b 12.8135
_cell_length_c 6.6832
_cell_angle_alpha 90.00
_cell_angle_beta 111.18
_cell_angle_gamma 90.00
_space_group_name_H-M_alt 'C 1 2/m 1'
_space_group_IT_number 12
loop_
_space_group_symop_operation_xyz
'x,y,z'
'-x,-y,-z'
'-x,y,-z'
'x,-y,z'
'x+1/2,y+1/2,z'
'-x+1/2,-y+1/2,-z'
'-x+1/2,y+1/2,-z'
'x+1/2,-y+1/2,z'
loop_
_atom_site_label
_atom_site_fract_x
_atom_site_fract_y
_atom_site_fract_z
Ca1 0.0000 0.0000 0.0000
Zn1 0.0000 0.5000 0.5000
Zn2 0.1069 0.3896 0.2171
Zn3 0.1612 0.1759 0.3557
Zn4 0.2500 0.2500 0.0000
Pd1 0.0000 0.0000 0.5000
```

(2)
# CaZn3Pd GGA-PBE optimized geometry
data_CaZn3Pd
_cell_length_a 6.4840
_cell_length_b 9.9647
_cell_length_c 6.0063
_cell_angle_alpha 90.00
_cell_angle_beta 90.00
_cell_angle_gamma 90.00
_space_group_name_H-M_alt 'C m c m'
_space_group_IT_number 63
_space_group_name_Hall '-C 2c 2'
loop_
_atom_site_label
_atom_site_fract_x
_atom_site_fract_y
_atom_site_fract_z
Ca1 0.0000 0.2299 0.2500
Zn1 0.0000 0.3396 0.7500
Zn2 0.2125 0.5000 0.0000
Pd1 0.0000 0.0919 0.7500
# excess energy over the best structure of this formula in the dataset: 0 meV per atom

(3)
# Ca12Zn6Pd

An optimized crystal structure of Ca12Zn6Pd (GGA-PBE, Alexandria via LeMat-Bulk).

Structure (CIF):
```
data_Ca12Zn6Pd
_cell_length_a 10.4051
_cell_length_b 10.4051
_cell_length_c 10.4051
_cell_angle_alpha 90.00
_cell_angle_beta 90.00
_cell_angle_gamma 90.00
_space_group_name_H-M_alt 'I m -3'
_space_group_IT_number 204
_space_group_name_Hall '-I 2 2 3'
loop_
_atom_site_label
_atom_site_fract_x
_atom_site_fract_y
_atom_site_fract_z
Ca1 0.0000 0.1836 0.2875
Zn1 0.0000 0.3763 0.5000
Pd1 0.0000 0.0000 0.0000
```

(4)
# CaZn2Pd2 GGA-PBE optimized geometry
data_CaZn2Pd2
_cell_length_a 4.2295
_cell_length_b 4.2295
_cell_length_c 10.5550
_cell_angle_alpha 90.00
_cell_angle_beta 90.00
_cell_angle_gamma 90.00
_space_group_name_H-M_alt 'I 4/m m m'
_space_group_IT_number 139
_space_group_name_Hall '-I 4 2'
loop_
_atom_site_label
_atom_site_fract_x
_atom_site_fract_y
_atom_site_fract_z
Ca1 0.0000 0.0000 0.0000
Zn1 0.0000 0.0000 0.3827
Pd1 0.0000 0.5000 0.2500
# excess energy over the best structure of this formula in the dataset: 34 meV per atom

(5)
# CaZn2Pd2 GGA-PBE optimized geometry
data_CaZn2Pd2
_cell_length_a 7.6018
_cell_length_b 7.6018
_cell_length_c 2.9937
_cell_angle_alpha 90.00
_cell_angle_beta 90.00
_cell_angle_gamma 90.00
_space_group_name_H-M_alt 'P 4/m b m'
_space_group_IT_number 127
_space_group_name_Hall '-P 4 2ab'
loop_
_atom_site_label
_atom_site_fract_x
_atom_site_fract_y
_atom_site_fract_z
Ca1 0.0000 0.0000 0.0000
Zn1 0.1362 0.3638 0.5000
Pd1 0.1575 0.6575 0.0000
# excess energy over the best structure of this formula in the dataset: 55 meV per atom

(6)
# Ca2Zn2Pd GGA-PBE optimized geometry
data_Ca2Zn2Pd
_cell_length_a 4.6288
_cell_length_b 5.2006
_cell_length_c 9.2893
_cell_angle_alpha 90.00
_cell_angle_beta 90.00
_cell_angle_gamma 90.00
_space_group_name_H-M_alt 'I m m m'
_space_group_IT_number 71
_space_group_name_Hall '-I 2 2'
loop_
_atom_site_label
_atom_site_fract_x
_atom_site_fract_y
_atom_site_fract_z
Ca1 0.0000 0.0000 0.1901
Zn1 0.0000 0.2497 0.5000
Pd1 0.0000 0.5000 0.0000
# excess energy over the best structure of this formula in the dataset: 0 meV per atom

(7)
# Ca5ZnPd4

An optimized crystal structure of Ca5ZnPd4 (GGA-PBE, Alexandria via LeMat-Bulk).

Structure (CIF):
```
data_Ca5ZnPd4
_cell_length_a 3.5884
_cell_length_b 3.5884
_cell_length_c 17.5110
_cell_angle_alpha 90.00
_cell_angle_beta 90.00
_cell_angle_gamma 90.00
_space_group_name_H-M_alt 'P 4/m m m'
_space_group_IT_number 123
_space_group_name_Hall '-P 4 2'
loop_
_atom_site_label
_atom_site_fract_x
_atom_site_fract_y
_atom_site_fract_z
Ca1 0.0000 0.0000 0.0000
Ca2 0.0000 0.0000 0.1962
Ca3 0.0000 0.0000 0.3920
Zn1 0.5000 0.5000 0.5000
Pd1 0.5000 0.5000 0.0988
Pd2 0.5000 0.5000 0.2952
```

(8)
# CaZn5Pd2

An optimized crystal structure of CaZn5Pd2 (GGA-PBE, Alexandria via LeMat-Bulk).

Structure (CIF):
```
data_CaZn5Pd2
_cell_length_a 3.7581
_cell_length_b 7.7026
_cell_length_c 9.9333
_cell_angle_alpha 90.00
_cell_angle_beta 90.00
_cell_angle_gamma 90.00
_space_group_name_H-M_alt 'I m m m'
_space_group_IT_number 71
_space_group_name_Hall '-I 2 2'
loop_
_atom_site_label
_atom_site_fract_x
_atom_site_fract_y
_atom_site_fract_z
Ca1 0.0000 0.0000 0.0000
Zn1 0.0000 0.1924 0.3566
Zn2 0.0000 0.5000 0.0000
Pd1 0.0000 0.5000 0.2562
```

(9)
# Ca4ZnPd3

An optimized crystal structure of Ca4ZnPd3 (GGA-PBE, Alexandria via LeMat-Bulk).

Structure (CIF):
```
data_Ca4ZnPd3
_cell_length_a 11.3172
_cell_length_b 11.3172
_cell_length_c 5.6958
_cell_angle_alpha 90.00
_cell_angle_beta 90.00
_cell_angle_gamma 90.00
_space_group_name_H-M_alt 'I 4/m c m'
_space_group_IT_number 140
_space_group_name_Hall '-I 4 2c'
loop_
_atom_site_label
_atom_site_fract_x
_atom_site_fract_y
_atom_site_fract_z
Ca1 0.0833 0.2206 0.0000
Zn1 0.0000 0.5000 0.2500
Pd1 0.0000 0.0000 0.2500
Pd2 0.1450 0.3550 0.5000
```

(10)
# CaZn6Pd2

An optimized crystal structure of CaZn6Pd2 (GGA-PBE, Alexandria via LeMat-Bulk).

Structure (CIF):
```
data_CaZn6Pd2
_cell_length_a 4.2091
_cell_length_b 6.1375
_cell_length_c 12.2969
_cell_angle_alpha 90.00
_cell_angle_beta 90.00
_cell_angle_gamma 90.00
_space_group_name_H-M_alt 'I m m m'
_space_group_IT_number 71
_space_group_name_Hall '-I 2 2'
loop_
_atom_site_label
_atom_site_fract_x
_atom_site_fract_y
_atom_site_fract_z
Ca1 0.0000 0.0000 0.0000
Zn1 0.0000 0.1910 0.5000
Zn2 0.0000 0.2697 0.3053
Pd1 0.0000 0.5000 0.1204
```

(11)
# CaZn3Pd2

An optimized crystal structure of CaZn3Pd2 (GGA-PBE, Alexandria via LeMat-Bulk).

Structure (CIF):
```
data_CaZn3Pd2
_cell_length_a 9.4499
_cell_length_b 8.3717
_cell_length_c 5.6179
_cell_angle_alpha 90.00
_cell_angle_beta 90.00
_cell_angle_gamma 90.00
_space_group_name_H-M_alt 'C m c m'
_space_group_IT_number 63
_space_group_name_Hall '-C 2c 2'
loop_
_atom_site_label
_atom_site_fract_x
_atom_site_fract_y
_atom_site_fract_z
Ca1 0.0000 0.1520 0.2500
Zn1 0.0000 0.4680 0.7500
Zn2 0.1769 0.2325 0.7500
Pd1 0.2288 0.5000 0.0000
```

(12)
# Ca2ZnPd3 GGA-PBE optimized geometry
data_Ca2ZnPd3
_cell_length_a 4.6385
_cell_length_b 5.4881
_cell_length_c 9.9181
_cell_angle_alpha 90.00
_cell_angle_beta 90.00
_cell_angle_gamma 90.00
_space_group_name_H-M_alt 'I m m m'
_space_group_IT_number 71
_space_group_name_Hall '-I 2 2'
loop_
_atom_site_label
_atom_site_fract_x
_atom_site_fract_y
_atom_site_fract_z
Ca1 0.0000 0.0000 0.1835
Zn1 0.0000 0.0000 0.5000
Pd1 0.0000 0.5000 0.1329
Pd2 0.0000 0.5000 0.5000
# excess energy over the best structure of this formula in the dataset: 318 meV per atom

One value per record, in order, for density: 6.830, 5.866, 2.889, 6.749, 7.367, 4.714, 5.092, 6.699, 4.962, 6.747, 6.712, 6.114 g/cm3.
One value per record, in order, for DFT formation energy: -2.8, -2.0, -3.4, -2.7, -2.6, -2.3, -6.0, -3.0, -4.6, -2.4, -3.1, -2.4 eV/f.u..
One value per record, in order, for calculated total energy: -1.844, -2.595, -2.119, -3.529, -3.509, -2.817, -3.801, -2.722, -3.684, -2.489, -3.212, -3.881 eV/atom.